1.
This record from the Alexandria database describes a geometry-optimized KBa2CuPb structure. The functional is PBE.

```
KBa2CuPb
1.0
6.758 0.000 0.000
0.000 6.758 0.000
0.000 0.000 6.652
K Ba Cu Pb
1 2 1 1
direct
0.000 0.000 0.000
0.000 0.500 0.500
0.500 0.000 0.500
0.500 0.500 0.000
0.000 0.000 0.500
```

Results
Symmetry   P4/mmm, No. 123
E   -2.282 eV/atom


2.
This record from the Alexandria database describes a geometry-optimized KBa2CuPt structure. The functional is PBE.

```
KBa2CuPt
1.0
6.096 0.000 0.000
0.000 6.096 0.000
0.000 0.000 6.105
K Ba Cu Pt
1 2 1 1
direct
0.000 0.000 0.000
0.000 0.500 0.500
0.500 0.000 0.500
0.500 0.500 0.000
0.000 0.000 0.500
```

Results
Symmetry   P4/mmm, No. 123
E   -2.992 eV/atom


3.
This record from the Alexandria database describes a geometry-optimized KRbBa2Cu structure. The functional is PBE.

```
KRbBa2Cu
1.0
6.423 0.000 0.000
0.000 6.423 0.000
0.000 0.000 7.160
K Rb Ba Cu
1 1 2 1
direct
0.000 0.000 0.000
0.500 0.500 0.000
0.000 0.500 0.500
0.500 0.000 0.500
0.500 0.500 0.500
```

Results
Symmetry   P4/mmm, No. 123
E   -1.882 eV/atom


4.
This record from the Alexandria database describes a geometry-optimized KRbBa2Cu structure. The functional is PBE.

```
KRbBa2Cu
1.0
6.423 0.000 0.000
0.000 6.423 0.000
0.000 0.000 7.069
K Rb Ba Cu
1 1 2 1
direct
0.000 0.000 0.000
0.500 0.500 0.000
0.000 0.500 0.500
0.500 0.000 0.500
0.000 0.000 0.500
```

Results
Symmetry   P4/mmm, No. 123
E   -1.883 eV/atom


5.
This record from the Alexandria database describes a geometry-optimized KBa2CuRh structure. The functional is PBE.

```
KBa2CuRh
1.0
6.019 0.000 0.000
0.000 6.019 0.000
0.000 0.000 5.181
K Ba Cu Rh
1 2 1 1
direct
0.000 0.000 0.000
0.000 0.500 0.500
0.500 0.000 0.500
0.500 0.500 0.000
0.500 0.500 0.500
```

Results
Symmetry   P4/mmm, No. 123
E   -3.150 eV/atom


6.
This record from the Alexandria database describes a geometry-optimized KBaCu2Ru structure. The functional is PBE.

```
KBaCu2Ru
1.0
5.630 0.000 0.000
0.000 5.630 0.000
0.000 0.000 6.931
K Ba Cu Ru
1 1 2 1
direct
0.000 0.000 0.000
0.000 0.000 0.500
0.000 0.500 0.500
0.500 0.000 0.500
0.500 0.500 0.000
```

Results
Symmetry   P4/mmm, No. 123
E   -2.246 eV/atom


7.
This record from the Alexandria database describes a geometry-optimized KBaCuSb2 structure. The functional is PBE.

```
KBaCuSb2
1.0
6.316 0.000 0.000
0.000 6.316 0.000
0.000 0.000 6.742
K Ba Cu Sb
1 1 1 2
direct
0.000 0.000 0.000
0.000 0.000 0.500
0.500 0.500 0.000
0.000 0.500 0.500
0.500 0.000 0.500
```

Results
Symmetry   P4/mmm, No. 123
E   -2.169 eV/atom
Raw formation energy   0.9036 eV per atom


8.
This record from the Alexandria database describes a geometry-optimized KBa2SrCu structure. The functional is PBE.

```
KBa2SrCu
1.0
6.410 0.000 0.000
0.000 6.410 0.000
0.000 0.000 6.552
K Ba Sr Cu
1 2 1 1
direct
0.000 0.000 0.000
0.000 0.500 0.500
0.500 0.000 0.500
0.500 0.500 0.000
0.000 0.000 0.500
```

Results
Symmetry   P4/mmm, No. 123
E   -2.017 eV/atom
Energy above the most stable polymorph in this dataset   97 meV per atom


9.
This record from the Alexandria database describes a geometry-optimized KBa2SrCu structure. The functional is PBE.

```
KBa2SrCu
1.0
6.497 0.000 0.000
0.000 6.497 0.000
0.000 0.000 6.299
K Ba Sr Cu
1 2 1 1
direct
0.000 0.000 0.000
0.000 0.500 0.500
0.500 0.000 0.500
0.500 0.500 0.000
0.500 0.500 0.500
```

Results
Symmetry   P4/mmm, No. 123
E   -2.114 eV/atom
Energy above the most stable polymorph in this dataset   0 meV per atom


10.
This record from the Alexandria database describes a geometry-optimized BaLaCu2 structure. The functional is PBE.

```
BaLaCu2
1.0
-2.088 2.098 7.222
2.088 -2.098 7.222
2.088 2.098 -7.222
Ba La Cu
1 1 2
direct
0.000 0.000 0.000
0.749 0.249 0.500
0.304 0.804 0.500
0.397 0.397 0.000
```

Results
Symmetry   Imm2, No. 44
E   -3.720 eV/atom
Energy above the most stable polymorph in this dataset   93 meV per atom


11.
This record from the Alexandria database describes a geometry-optimized BaLaCu structure. The functional is PBE.

```
BaLaCu
1.0
4.870 0.000 0.000
-2.435 4.217 0.000
0.000 0.000 5.220
Ba La Cu
1 1 1
direct
0.000 0.000 0.000
0.333 0.667 0.513
0.667 0.333 0.419
```

Results
Symmetry   P3m1, No. 156
E   -3.490 eV/atom
Energy above the most stable polymorph in this dataset   135 meV per atom


12.
This record from the Alexandria database describes a geometry-optimized BaLaCu2 structure. The functional is PBE.

```
BaLaCu2
1.0
4.467 0.000 0.000
0.000 2.094 6.304
0.000 -2.094 6.304
Ba La Cu
1 1 2
direct
0.000 0.000 0.000
0.500 0.269 0.269
0.000 0.711 0.711
0.500 0.603 0.603
```

Results
Symmetry   Amm2, No. 38
E   -3.789 eV/atom
Energy above the most stable polymorph in this dataset   24 meV per atom